Entry 1:
Below is a relaxed ErGePd2 crystal, with properties calculated at the PBE level.

abc: 3.862 6.402 6.266
angles: 90.00 90.00 90.00
Space group Pmc2_1 (No. 26)
Symmetry-distinct sites (fractional):
1 Er 0.000 0.165 0.000 [2 per cell]
2 Ge 0.500 0.335 0.354 [2 per cell]
3 Pd 0.000 0.432 0.642 [2 per cell]
4 Pd 0.500 0.086 0.680 [2 per cell]

VASP energy ... -44.227 eV/cell
Magnetization ... 0.01 μB per cell
Calculated volume ... 19.36 A^3/atom


Entry 2:
Below is a relaxed ErGe3Pd4 crystal, with properties calculated at the PBE level.

abc: 5.748 4.158 5.965
angles: 90.00 92.79 90.00
Space group Pm (No. 6)
Symmetry-distinct sites (fractional):
1 Er 0.000 0.000 0.000 [1 per cell]
2 Ge 0.224 0.000 0.490 [1 per cell]
3 Ge 0.447 0.500 0.139 [1 per cell]
4 Ge 0.737 0.500 0.661 [1 per cell]
5 Pd 0.002 0.500 0.330 [1 per cell]
6 Pd 0.205 0.500 0.764 [1 per cell]
7 Pd 0.535 0.000 0.829 [1 per cell]
8 Pd 0.639 0.000 0.339 [1 per cell]

VASP energy ... -43.639 eV/cell
Magnetization ... 0.01 μB per cell
Calculated volume ... 17.80 A^3/atom


Entry 3:
Below is a relaxed Er2TmGe3PdPt2 crystal, with properties calculated at the PBE level.

abc: 3.877 12.450 7.201
angles: 90.00 90.00 90.00
Space group Amm2 (No. 38)
Symmetry-distinct sites (fractional):
1 Er 0.000 0.203 0.000 [4 per cell]
2 Tm 0.000 0.000 0.608 [2 per cell]
3 Ge 0.500 0.000 0.946 [2 per cell]
4 Ge 0.500 0.128 0.331 [4 per cell]
5 Pd 0.000 0.000 0.204 [2 per cell]
6 Pt 0.500 0.166 0.703 [4 per cell]

VASP energy ... -108.041 eV/cell
Magnetization ... 0.00 μB per cell
Calculated volume ... 19.31 A^3/atom


Entry 4:
Below is a relaxed ErTm2Ge3PdPt2 crystal, with properties calculated at the PBE level.

abc: 3.873 12.461 7.181
angles: 90.00 90.00 90.00
Space group Amm2 (No. 38)
Symmetry-distinct sites (fractional):
1 Er 0.000 0.000 0.000 [2 per cell]
2 Tm 0.000 0.203 0.609 [4 per cell]
3 Ge 0.500 0.000 0.662 [2 per cell]
4 Ge 0.500 0.128 0.278 [4 per cell]
5 Pd 0.000 0.000 0.407 [2 per cell]
6 Pt 0.500 0.167 0.906 [4 per cell]

VASP energy ... -107.873 eV/cell
Magnetization ... 0.00 μB per cell
Calculated volume ... 19.25 A^3/atom